# 1
A plane-wave DFT calculation with GGA-PBE was carried out for an optimized crystal structure of CsLaSb3.

Lattice parameters (Å, degrees): 6.177 6.177 6.177 90.00 90.00 90.00
Positions (direct):
Cs 0.000 0.000 0.000
La 0.500 0.500 0.500
Sb 0.000 0.500 0.500
Sb 0.500 0.000 0.500
Sb 0.500 0.500 0.000

Summary:
Offset from the most stable computed form = 0 meV per atom
M_tot = 0.0 μB/cell
SG = Pm-3m (221)
ΔE_f (raw) = -90.8 meV/atom

=====

# 2
A plane-wave DFT calculation with GGA-PBE was carried out for an optimized crystal structure of ZrOsSe.

Lattice parameters (Å, degrees): 4.840 4.840 4.840 140.22 130.41 65.37
Positions (direct):
Zr 0.000 0.000 0.000
Os 0.646 0.646 0.000
Se 0.331 0.331 0.000

Summary:
M_tot = 0.0 μB/cell
SG = Imm2 (44)
ΔE_f (raw) = -32.9 meV/atom

=====

# 3
A plane-wave DFT calculation with GGA-PBE was carried out for an optimized crystal structure of RbErGaTe3.

Lattice parameters (Å, degrees): 9.859 4.502 10.862 90.00 106.73 90.00
Positions (direct):
Rb 0.198 0.250 0.243
Rb 0.802 0.750 0.757
Er 0.343 0.750 0.871
Er 0.657 0.250 0.129
Ga 0.075 0.250 0.616
Ga 0.925 0.750 0.384
Te 0.128 0.250 0.877
Te 0.218 0.750 0.563
Te 0.456 0.750 0.161
Te 0.544 0.250 0.839
Te 0.782 0.250 0.437
Te 0.872 0.750 0.123

Summary:
M_tot = 0.0 μB/cell
SG = P2_1/m (11)
ΔE_f (raw) = -945.3 meV/atom

=====

# 4
A plane-wave DFT calculation with GGA-PBE was carried out for an optimized crystal structure of SmHoCoOs.

Lattice parameters (Å, degrees): 4.830 4.830 4.830 60.00 60.00 60.00
Positions (direct):
Sm 0.000 0.000 0.000
Ho 0.500 0.500 0.500
Co 0.750 0.750 0.750
Os 0.250 0.250 0.250

Summary:
M_tot = 0.7 μB/cell
SG = F-43m (216)
Formation energy = -0.045 eV/atom

=====

# 5
A plane-wave DFT calculation with GGA-PBE was carried out for an optimized crystal structure of RbLiY3.

Lattice parameters (Å, degrees): 5.618 5.618 5.618 90.00 90.00 90.00
Positions (direct):
Rb 0.000 0.000 0.000
Li 0.500 0.500 0.500
Y 0.000 0.000 0.500
Y 0.000 0.500 0.000
Y 0.500 0.000 0.000

Summary:
Offset from the most stable computed form = 676 meV per atom
M_tot = 0.0 μB/cell
SG = Pm-3m (221)
Formation energy = 1.314 eV/atom

=====

# 6
A plane-wave DFT calculation with GGA-PBE was carried out for an optimized crystal structure of BaGeCl2.

Lattice parameters (Å, degrees): 5.443 5.443 5.443 60.00 60.00 60.00
Positions (direct):
Ba 0.000 0.000 0.000
Ge 0.500 0.500 0.500
Cl 0.250 0.250 0.250
Cl 0.750 0.750 0.750

Summary:
Offset from the most stable computed form = 62 meV per atom
M_tot = 2.0 μB/cell
SG = Fm-3m (225)
ΔE_f (raw) = -1021.1 meV/atom

=====

# 7
A plane-wave DFT calculation with GGA-PBE was carried out for an optimized crystal structure of NaWBr3.

Lattice parameters (Å, degrees): 5.408 5.408 5.408 90.00 90.00 90.00
Positions (direct):
Na 0.000 0.000 0.000
W 0.500 0.500 0.500
Br 0.000 0.500 0.500
Br 0.500 0.000 0.500
Br 0.500 0.500 0.000

Summary:
Offset from the most stable computed form = 0 meV per atom
M_tot = 4.0 μB/cell
SG = Pm-3m (221)
ΔE_f (raw) = -123.1 meV/atom

=====

# 8
A plane-wave DFT calculation with GGA-PBE was carried out for an optimized crystal structure of GaCuBi2.

Lattice parameters (Å, degrees): 7.648 7.648 7.648 131.53 131.53 70.97
Positions (direct):
Ga 0.000 0.000 0.000
Ga 0.750 0.250 0.500
Cu 0.250 0.750 0.500
Cu 0.500 0.500 0.000
Bi 0.149 0.625 0.024
Bi 0.375 0.399 0.524
Bi 0.601 0.125 0.976
Bi 0.875 0.851 0.476

Summary:
M_tot = 0.0 μB/cell
SG = I-42d (122)
Formation energy = 0.242 eV/atom

=====

# 9
A plane-wave DFT calculation with GGA-PBE was carried out for an optimized crystal structure of NaGe.

Lattice parameters (Å, degrees): 8.135 8.135 8.135 90.00 90.00 90.00
Positions (direct):
Na 0.000 0.250 0.500
Na 0.000 0.750 0.500
Na 0.250 0.500 0.000
Na 0.500 0.000 0.250
Na 0.500 0.000 0.750
Na 0.750 0.500 0.000
Ge 0.000 0.500 0.250
Ge 0.000 0.500 0.750
Ge 0.250 0.000 0.500
Ge 0.500 0.250 0.000
Ge 0.500 0.750 0.000
Ge 0.750 0.000 0.500

Summary:
M_tot = 0.0 μB/cell
SG = Pm-3n (223)
Formation energy = 0.982 eV/atom

=====

# 10
A plane-wave DFT calculation with GGA-PBE was carried out for an optimized crystal structure of Sc3Ge2Os.

Lattice parameters (Å, degrees): 11.101 4.232 9.804 90.00 90.00 90.00
Positions (direct):
Sc 0.047 0.250 0.138
Sc 0.153 0.750 0.587
Sc 0.237 0.250 0.809
Sc 0.263 0.750 0.309
Sc 0.347 0.250 0.087
Sc 0.453 0.750 0.638
Sc 0.547 0.250 0.362
Sc 0.653 0.750 0.913
Sc 0.737 0.250 0.691
Sc 0.763 0.750 0.191
Sc 0.847 0.250 0.413
Sc 0.953 0.750 0.862
Ge 0.002 0.250 0.657
Ge 0.174 0.750 0.013
Ge 0.326 0.250 0.513
Ge 0.498 0.750 0.157
Ge 0.502 0.250 0.843
Ge 0.674 0.750 0.487
Ge 0.826 0.250 0.987
Ge 0.998 0.750 0.343
Os 0.123 0.250 0.395
Os 0.377 0.750 0.895
Os 0.623 0.250 0.105
Os 0.877 0.750 0.605

Summary:
M_tot = 0.0 μB/cell
SG = Pnma (62)
Formation energy = -0.635 eV/atom

=====

# 11
A plane-wave DFT calculation with GGA-PBE was carried out for an optimized crystal structure of NaSF6.

Lattice parameters (Å, degrees): 4.909 4.909 4.834 96.69 96.69 110.33
Positions (direct):
Na 0.000 0.000 0.000
S 0.500 0.500 0.500
F 0.207 0.509 0.265
F 0.250 0.250 0.661
F 0.491 0.793 0.735
F 0.509 0.207 0.265
F 0.750 0.750 0.339
F 0.793 0.491 0.735

Summary:
M_tot = 0.9 μB/cell
SG = C2/m (12)
ΔE_f (raw) = -1788.7 meV/atom

=====

# 12
A plane-wave DFT calculation with GGA-PBE was carried out for an optimized crystal structure of Pm2Sm15Ho2.

Lattice parameters (Å, degrees): 8.863 8.863 8.863 78.15 78.15 78.15
Positions (direct):
Pm 0.091 0.091 0.091
Pm 0.909 0.909 0.909
Sm 0.000 0.000 0.500
Sm 0.000 0.299 0.701
Sm 0.000 0.500 0.000
Sm 0.000 0.701 0.299
Sm 0.156 0.619 0.619
Sm 0.299 0.000 0.701
Sm 0.299 0.701 0.000
Sm 0.381 0.381 0.844
Sm 0.381 0.844 0.381
Sm 0.500 0.000 0.000
Sm 0.619 0.156 0.619
Sm 0.619 0.619 0.156
Sm 0.701 0.000 0.299
Sm 0.701 0.299 0.000
Sm 0.844 0.381 0.381
Ho 0.315 0.315 0.315
Ho 0.685 0.685 0.685

Summary:
M_tot = 0.0 μB/cell
SG = R-3m (166)
Formation energy = 0.281 eV/atom

=====

# 13
A plane-wave DFT calculation with GGA-PBE was carried out for an optimized crystal structure of LiEuHoLu.

Lattice parameters (Å, degrees): 5.561 5.561 5.561 60.00 60.00 60.00
Positions (direct):
Li 0.000 0.000 0.000
Eu 0.250 0.250 0.250
Ho 0.750 0.750 0.750
Lu 0.500 0.500 0.500

Summary:
M_tot = 7.1 μB/cell
SG = F-43m (216)
Formation energy = 0.203 eV/atom

=====

# 14
A plane-wave DFT calculation with GGA-PBE was carried out for an optimized crystal structure of LiAg4.

Lattice parameters (Å, degrees): 5.014 5.014 5.014 109.47 109.47 109.47
Positions (direct):
Li 0.000 0.000 0.000
Ag 0.000 0.000 0.500
Ag 0.000 0.500 0.000
Ag 0.500 0.000 0.000
Ag 0.500 0.500 0.500

Summary:
Offset from the most stable computed form = 374 meV per atom
M_tot = 0.0 μB/cell
SG = Im-3m (229)
Formation energy = 0.269 eV/atom

=====

# 15
A plane-wave DFT calculation with GGA-PBE was carried out for an optimized crystal structure of SnBi2Br8.

Lattice parameters (Å, degrees): 10.485 10.485 10.347 91.40 91.40 21.87
Positions (direct):
Sn 0.000 0.000 0.000
Bi 0.346 0.346 0.269
Bi 0.654 0.654 0.731
Br 0.101 0.101 0.553
Br 0.145 0.145 0.954
Br 0.260 0.260 0.703
Br 0.496 0.496 0.214
Br 0.504 0.504 0.786
Br 0.740 0.740 0.297
Br 0.855 0.855 0.046
Br 0.899 0.899 0.447

Summary:
Offset from the most stable computed form = 0 meV per atom
M_tot = 0.0 μB/cell
SG = C2/m (12)
ΔE_f (raw) = -684.1 meV/atom

=====

# 16
A plane-wave DFT calculation with GGA-PBE was carried out for an optimized crystal structure of MgHPd2Au.

Lattice parameters (Å, degrees): 3.989 3.989 4.217 90.00 90.00 90.00
Positions (direct):
Mg 0.000 0.000 0.000
H 0.000 0.000 0.500
Pd 0.000 0.500 0.500
Pd 0.500 0.000 0.500
Au 0.500 0.500 0.000

Summary:
Offset from the most stable computed form = 0 meV per atom
M_tot = 0.0 μB/cell
SG = P4/mmm (123)

=====

# 17
A plane-wave DFT calculation with GGA-PBE was carried out for an optimized crystal structure of Si2HgRu.

Lattice parameters (Å, degrees): 6.022 6.022 6.022 153.19 132.65 55.25
Positions (direct):
Si 0.191 0.191 0.000
Si 0.809 0.809 0.000
Hg 0.500 0.000 0.500
Ru 0.000 0.500 0.500

Summary:
M_tot = 0.0 μB/cell
SG = Immm (71)
ΔE_f (raw) = 328.5 meV/atom

=====

# 18
A plane-wave DFT calculation with GGA-PBE was carried out for an optimized crystal structure of CaNiSbTe2.

Lattice parameters (Å, degrees): 5.736 5.736 5.733 90.00 90.00 90.00
Positions (direct):
Ca 0.000 0.000 0.000
Ni 0.500 0.500 0.500
Sb 0.000 0.000 0.500
Te 0.000 0.500 0.000
Te 0.500 0.000 0.000

Summary:
Offset from the most stable computed form = 1171 meV per atom
M_tot = 1.0 μB/cell
SG = P4/mmm (123)
ΔE_f (raw) = 856.3 meV/atom

=====

# 19
A plane-wave DFT calculation with GGA-PBE was carried out for an optimized crystal structure of K3IrRh3Se8.

Lattice parameters (Å, degrees): 8.520 8.520 8.520 53.59 53.59 53.59
Positions (direct):
K 0.000 0.500 0.500
K 0.500 0.000 0.500
K 0.500 0.500 0.000
Ir 0.500 0.500 0.500
Rh 0.000 0.000 0.500
Rh 0.000 0.500 0.000
Rh 0.500 0.000 0.000
Se 0.222 0.222 0.222
Se 0.222 0.723 0.723
Se 0.277 0.277 0.778
Se 0.277 0.778 0.277
Se 0.723 0.222 0.723
Se 0.723 0.723 0.222
Se 0.778 0.277 0.277
Se 0.778 0.778 0.778

Summary:
M_tot = 0.0 μB/cell
SG = R-3m (166)
ΔE_f (raw) = -635.4 meV/atom

=====

# 20
A plane-wave DFT calculation with GGA-PBE was carried out for an optimized crystal structure of Pr2NdPaP4.

Lattice parameters (Å, degrees): 7.147 7.147 7.147 131.88 131.88 70.42
Positions (direct):
Pr 0.000 0.000 0.000
Pr 0.750 0.250 0.500
Nd 0.250 0.750 0.500
Pa 0.500 0.500 0.000
P 0.001 0.501 0.500
P 0.263 0.263 0.000
P 0.499 0.999 0.500
P 0.737 0.737 0.000

Summary:
M_tot = 0.0 μB/cell
SG = I-4m2 (119)
Formation energy = -1.473 eV/atom

=====

no.,DFT total energy (eV per atom),Fermi-level density of states (states/eV per atom),V (Å³ per atom)
1,-3.7204,1.912,47.14
2,-7.7870,0.710,18.15
3,-3.9423,0.237,38.48
4,-6.9529,1.299,19.92
5,-3.1407,1.424,35.46
6,-3.5795,0.994,28.50
7,-3.9812,0.119,31.64
8,-3.4796,0.506,30.68
9,-1.9862,1.126,44.86
10,-7.2116,0.756,19.19
11,-3.8730,0.271,13.37
12,-4.4268,1.607,34.58
13,-5.1188,0.979,30.39
14,-2.3945,0.369,19.41
15,-2.9702,0.000,38.50
16,-4.1471,0.246,13.42
17,-4.7774,0.944,18.02
18,-2.7814,2.486,37.72
19,-4.7743,0.822,24.79
20,-7.1558,0.431,24.79